# 1
# BaAlOs2 | Alexandria | GGA-PBE | optimized geometry
data_BaAlOs2
_chemical_formula_sum 'Ba4 Al4 Os8'
_cell_length_a 6.797
_cell_length_b 6.797
_cell_length_c 6.797
_cell_angle_alpha 90.00
_cell_angle_beta 90.00
_cell_angle_gamma 90.00
_space_group_name_H-M_alt 'F -4 3 m'
_space_group_IT_number 216
_space_group_name_Hall 'F -4 2 3'
loop_
_atom_site_label
_atom_site_type_symbol
_atom_site_fract_x
_atom_site_fract_y
_atom_site_fract_z
_atom_site_occupancy
Ba1 Ba 0.000 0.000 0.000 1
Al1 Al 0.250 0.250 0.250 1
Os1 Os 0.000 0.000 0.500 1
Os2 Os 0.250 0.250 0.750 1
# - crystal system = cubic
# - formation energy from the elements (eV/atom) = 1.193



# 2
# LiAlC | Alexandria | GGA-PBE | optimized geometry
data_LiAlC
_chemical_formula_sum 'Li16 Al16 C16'
_cell_length_a 7.476
_cell_length_b 9.824
_cell_length_c 6.854
_cell_angle_alpha 90.00
_cell_angle_beta 90.00
_cell_angle_gamma 90.00
_space_group_name_H-M_alt 'F d d 2'
_space_group_IT_number 43
_space_group_name_Hall 'F 2 -2d'
loop_
_atom_site_label
_atom_site_type_symbol
_atom_site_fract_x
_atom_site_fract_y
_atom_site_fract_z
_atom_site_occupancy
Li1 Li 0.003 0.114 0.000 1
Al1 Al 0.000 0.136 0.498 1
C1 C 0.035 0.250 0.749 1
# - crystal system = orthorhombic
# - formation energy from the elements (eV/atom) = -0.092



# 3
# La8Ge3Te4I | Alexandria | GGA-PBE | optimized geometry
data_La8Ge3Te4I
_chemical_formula_sum 'La24 Ge9 Te12 I3'
_cell_length_a 9.0418
_cell_length_b 9.0418
_cell_length_c 22.3960
_cell_angle_alpha 90.00
_cell_angle_beta 90.00
_cell_angle_gamma 120.00
_space_group_name_H-M_alt 'R -3 m'
_space_group_IT_number 166
_space_group_name_Hall '-R 3 2"'
loop_
_atom_site_label
_atom_site_type_symbol
_atom_site_fract_x
_atom_site_fract_y
_atom_site_fract_z
_atom_site_occupancy
La1 La 0.0000 0.0000 0.2419 1
La2 La 0.0176 0.5088 0.7558 1
Ge1 Ge 0.0000 0.5000 0.5000 1
Te1 Te 0.0000 0.0000 0.0000 1
Te2 Te 0.0000 0.5000 0.0000 1
I1 I 0.0000 0.0000 0.5000 1
# - crystal system = trigonal
# - E_tot (eV/cell) = -265.8



no.,total magnetization (Bohr magnetons per cell)
1,0.0
2,0.0
3,0.0